1.
DFT (PBE) results for a relaxed structure of IrRuW.

## Properties
final energy	-31.07	eV per formula unit
space group	P3m1, No. 156
excess energy over the best structure of this formula in the dataset	170	meV/atom

Unit cell a=2.7594 b=2.7594 c=6.7772 alpha=90.00 beta=90.00 gamma=120.00
With the nearest neighbours (Å) after each atom.
Fractional positions:
Ir  0.0000  0.0000  0.0000  6 Ir 2.76, 3 W 2.76, 3 Ru 2.81
Ru  0.6667  0.3333  0.3409  3 W 2.73, 6 Ru 2.76, 3 Ir 2.81
W  0.3333  0.6667  0.6673  3 Ru 2.73, 6 W 2.76, 3 Ir 2.76

***

2.
DFT (PBE) results for a relaxed structure of SmY4Ho10.

## Properties
final energy	-71.07	eV per formula unit
space group	I4/m, No. 87

Unit cell a=8.6222 b=8.6222 c=8.6222 alpha=111.55 beta=111.55 gamma=105.39
With the nearest neighbours (Å) after each atom.
Fractional positions:
Sm  0.0000  0.0000  0.0000  4 Y 3.31
Y  0.0695  0.3340  0.4035  2 Ho 3.14, 1 Sm 3.31, 1 Y 3.49
Y  0.3340  0.9305  0.2645  2 Ho 3.14, 1 Sm 3.31, 1 Y 3.49
Y  0.6660  0.0695  0.7355  2 Ho 3.14, 1 Sm 3.31, 1 Y 3.49
Y  0.9305  0.6660  0.5965  2 Ho 3.14, 1 Sm 3.31, 1 Y 3.49
Ho  0.1266  0.4521  0.8987  5 Ho 3.13-3.35
Ho  0.2279  0.1266  0.6745  5 Ho 3.13-3.35
Ho  0.2500  0.7500  0.5000  4 Ho 3.13, 4 Y 3.14
Ho  0.4466  0.7721  0.8987  5 Ho 3.13-3.35
Ho  0.4521  0.5534  0.3255  5 Ho 3.13-3.35
Ho  0.5479  0.4466  0.6745  5 Ho 3.13-3.35
Ho  0.5534  0.2279  0.1013  5 Ho 3.13-3.35
Ho  0.7500  0.2500  0.5000  4 Ho 3.13, 4 Y 3.14
Ho  0.7721  0.8734  0.3255  5 Ho 3.13-3.35
Ho  0.8734  0.5479  0.1013  5 Ho 3.13-3.35

***

3.
DFT (PBE) results for a relaxed structure of CoB2Mo2.

## Properties
final energy	-44.22	eV per formula unit
space group	P4/mbm, No. 127

Unit cell a=5.6967 b=5.6967 c=3.2080 alpha=90.00 beta=90.00 gamma=90.00
With the nearest neighbours (Å) after each atom.
Fractional positions:
Co  0.0000  0.0000  0.0000  4 B 2.29
Co  0.5000  0.5000  0.0000  4 B 2.29
B  0.1139  0.3861  0.0000  1 B 1.83
B  0.3861  0.8861  0.0000  1 B 1.83
B  0.6139  0.1139  0.0000  1 B 1.83
B  0.8861  0.6139  0.0000  1 B 1.83
Mo  0.1785  0.6785  0.5000  6 B 2.32-2.34
Mo  0.3215  0.1785  0.5000  6 B 2.32-2.34
Mo  0.6785  0.8215  0.5000  6 B 2.32-2.34
Mo  0.8215  0.3215  0.5000  6 B 2.32-2.34

***

4.
DFT (PBE) results for a relaxed structure of KMnTe.

## Properties
formation energy (no corrections)	-6	kJ/mol of formula units
final energy	-13.47	eV per formula unit
space group	I4mm, No. 107
excess energy over the best structure of this formula in the dataset	184	meV/atom

Unit cell a=6.9096 b=6.9096 c=6.9096 alpha=146.62 beta=146.62 gamma=47.93
With the nearest neighbours (Å) after each atom.
Fractional positions:
K  0.0000  0.0000  0.0000  1 Mn 3.36, 1 Te 3.48
Mn  0.2662  0.2662  0.0000  4 Te 2.86
Te  0.7241  0.7241  0.0000  4 Mn 2.86

***

5.
DFT (PBE) results for a relaxed structure of Pu2HfCo3H12.

## Properties
final energy	-104.02	eV per formula unit
space group	R-3m, No. 166

Unit cell a=5.7101 b=5.7101 c=5.7101 alpha=64.56 beta=64.56 gamma=64.56
With the nearest neighbours (Å) after each atom.
Fractional positions:
Pu  0.1069  0.1069  0.1069  6 H 2.18-2.42
Pu  0.8931  0.8931  0.8931  6 H 2.18-2.42
Hf  0.5000  0.5000  0.5000  6 H 2.02
Co  0.0000  0.5000  0.5000  6 H 1.59-1.64
Co  0.5000  0.0000  0.5000  6 H 1.59-1.64
Co  0.5000  0.5000  0.0000  6 H 1.59-1.64
H  0.0888  0.6318  0.6318  1 Co 1.59
H  0.2174  0.2174  0.6201  2 Co 1.64
H  0.2174  0.6201  0.2174  2 Co 1.64
H  0.3682  0.3682  0.9112  1 Co 1.59
H  0.3682  0.9112  0.3682  1 Co 1.59
H  0.3799  0.7826  0.7826  2 Co 1.64
H  0.6201  0.2174  0.2174  2 Co 1.64
H  0.6318  0.0888  0.6318  1 Co 1.59
H  0.6318  0.6318  0.0888  1 Co 1.59
H  0.7826  0.3799  0.7826  2 Co 1.64
H  0.7826  0.7826  0.3799  2 Co 1.64
H  0.9112  0.3682  0.3682  1 Co 1.59

***

6.
DFT (PBE) results for a relaxed structure of Ca3Ni2Ge4.

## Properties
final energy	-41.00	eV per formula unit
space group	C2/m, No. 12
excess energy over the best structure of this formula in the dataset	21	meV/atom

Unit cell a=6.0412 b=6.0412 c=8.5127 alpha=98.16 beta=98.16 gamma=38.55
With the nearest neighbours (Å) after each atom.
Fractional positions:
Ca  0.0000  0.0000  0.0000  8 Ge 3.16-3.37, 4 Ni 3.20
Ca  0.3338  0.3338  0.3392  8 Ge 3.18-3.44, 4 Ni 3.22-3.26
Ca  0.6662  0.6662  0.6608  8 Ge 3.18-3.44, 4 Ni 3.22-3.26
Ni  0.3909  0.3909  0.7217  3 Ge 2.30-2.31
Ni  0.6091  0.6091  0.2783  3 Ge 2.30-2.31
Ge  0.0561  0.0561  0.3824  2 Ni 2.30, 1 Ge 2.53
Ge  0.2834  0.2834  0.9305  1 Ni 2.31, 2 Ge 2.50
Ge  0.7166  0.7166  0.0695  1 Ni 2.31, 2 Ge 2.50
Ge  0.9439  0.9439  0.6176  2 Ni 2.30, 1 Ge 2.53

***

no.,density (g/cm³)
1,17.7
2,7.3
3,8.7
4,3.7
5,9.8
6,4.6